No. 1
Here is crystalline Cd2Ni at its relaxed geometry from Alexandria. Energies are from PBE-GGA.

Properties
E_tot = -2.466 eV per atom
Calculated formation energy = 0.071 eV/atom
DOS(E_F) = 2.8 states/eV/cell
Space group = No. 12

a b c (Å): 6.4719 6.4719 6.8524
angles (deg): 64.06 64.06 25.66
Element x y z (fractional)
Cd 0.0970 0.0970 0.9750
Cd 0.3611 0.3611 0.7778
Cd 0.6251 0.6251 0.5806
Cd 0.3611 0.3611 0.2780
Ni 0.0096 0.0096 0.4034
Ni 0.7127 0.7127 0.1519

No. 2
Here is crystalline Cd4Ni3 at its relaxed geometry from Alexandria. Energies are from PBE-GGA.

Properties
Excess energy over the best structure of this formula in the dataset = 0 meV/atom
E_tot = -2.934 eV per atom
Calculated formation energy = 0.066 eV/atom
DOS(E_F) = 6.4 states/eV/cell
Space group = No. 139

a b c (Å): 3.0054 3.0054 13.0382
angles (deg): 83.38 83.38 90.00
Each line ends with the local moment (μB).
Element x y z (fractional)
Cd 0.1599 0.1599 0.6802  0.00
Cd 0.4336 0.4336 0.1328  0.00
Cd 0.5664 0.5664 0.8672  0.00
Cd 0.8401 0.8401 0.3198  0.00
Ni 0.0000 0.0000 0.0000  0.00
Ni 0.2736 0.2736 0.4527  0.24
Ni 0.7264 0.7264 0.5473  0.24

No. 3
Here is crystalline NpCdNi at its relaxed geometry from Alexandria. Energies are from PBE-GGA.

Properties
E_tot = -6.493 eV per atom
Calculated formation energy = 0.053 eV/atom
DOS(E_F) = 7.7 states/eV/cell
Space group = No. 2

a b c (Å): 3.1621 5.6537 7.2341
angles (deg): 92.64 64.07 73.74
Each line ends with the local moment (μB).
Element x y z (fractional)
Cd 0.1810 0.7305 0.9531  0.00
Cd 0.8190 0.2695 0.0469  0.00
Np 0.2672 0.3528 0.5564  1.67
Np 0.7328 0.6472 0.4436  1.67
Ni 0.7910 0.0145 0.7021  0.00
Ni 0.2090 0.9855 0.2979  0.00